1.
Entry from the Alexandria database: crystalline PrZr2Fe at its relaxed geometry (PBE-GGA).

It has space group P4/mmm (No. 123), with a = 3.284 Å, b = 3.284 Å, c = 8.320 Å, α = 90.00°, β = 90.00° and γ = 90.00°. Symmetry generates all atoms from Pr at (0.000, 0.000, 0.000), Zr at (0.500, 0.500, 0.320) and Fe at (0.000, 0.000, 0.500).

For the polymorph energy (0 for the lowest one), the calculation gives 0.0 kJ per mole of atoms. As for the uncorrected energy: -7.525 eV per atom. As for the formation energy: 0.06 eV per atom.

2.
Entry from the Alexandria database: crystalline PrZr2Fe at its relaxed geometry (PBE-GGA).

It has space group R-3m (No. 166, hexagonal axes), with a = 3.3200 Å, b = 3.3200 Å, c = 29.9619 Å, α = 90.00°, β = 90.00° and γ = 120.00°. Symmetry generates all atoms from Pr at (0.0000, 0.0000, 0.0000), Zr at (0.0000, 0.0000, 0.1098) and Fe at (0.0000, 0.0000, 0.5000).

For the polymorph energy (0 for the lowest one), the calculation gives 24.2 kJ per mole of atoms. As for the uncorrected energy: -7.274 eV per atom. As for the formation energy: 0.31 eV per atom.

3.
Entry from the Alexandria database: crystalline PrZrFe4 at its relaxed geometry (PBE-GGA).

It has space group F-43m (No. 216), with a = 7.261 Å, b = 7.261 Å, c = 7.261 Å, α = 90.00°, β = 90.00° and γ = 90.00°. Symmetry generates all atoms from Pr at (0.000, 0.000, 0.000), Zr at (0.250, 0.250, 0.750) and Fe at (0.124, 0.124, 0.376).

As for the uncorrected energy: -7.870 eV per atom. As for the formation energy: -0.01 eV per atom.

4.
Entry from the Alexandria database: crystalline Fe5Pt at its relaxed geometry (PBE-GGA).

It has space group Cmmm (No. 65), with a = 4.126 Å, b = 8.931 Å, c = 4.111 Å, α = 90.00°, β = 90.00° and γ = 90.00°. Symmetry generates all atoms from Fe at (0.000, 0.000, 0.000), Fe at (0.000, 0.171, 0.500), Fe at (0.000, 0.327, 0.000) and Pt at (0.000, 0.500, 0.500).

As for the uncorrected energy: -8.132 eV per atom. As for the formation energy: -0.07 eV per atom.

5.
Entry from the Alexandria database: crystalline Fe2Pt at its relaxed geometry (PBE-GGA).

It has space group C2/m (No. 12), with a = 11.522 Å, b = 2.685 Å, c = 5.335 Å, α = 90.00°, β = 102.75° and γ = 90.00°. Symmetry generates all atoms from Fe at (0.000, 0.000, 0.232), Fe at (0.171, 0.500, 0.090) and Pt at (0.159, 0.500, 0.587).

As for the uncorrected energy: -7.749 eV per atom. As for the formation energy: -0.09 eV per atom.

6.
Entry from the Alexandria database: crystalline Fe2Pt at its relaxed geometry (PBE-GGA).

It has space group P6_3/mmc (No. 194), with a = 4.3171 Å, b = 4.3171 Å, c = 5.1189 Å, α = 90.00°, β = 90.00° and γ = 120.00°. Symmetry generates all atoms from Fe at (0.0000, 0.0000, 0.0000), Fe at (0.3333, 0.6667, 0.2500) and Pt at (0.3333, 0.6667, 0.7500).

As for the uncorrected energy: -7.681 eV per atom. As for the formation energy: -0.03 eV per atom.

7.
Entry from the Alexandria database: crystalline Fe3Pt13 at its relaxed geometry (PBE-GGA).

It has space group Amm2 (No. 38), with a = 5.567 Å, b = 9.151 Å, c = 9.571 Å, α = 90.00°, β = 90.00° and γ = 90.00°. Symmetry generates all atoms from Fe at (0.000, 0.000, 0.000), Fe at (0.247, 0.000, 0.749), Pt at (0.000, 0.000, 0.504), Pt at (0.000, 0.244, 0.667), Pt at (0.247, 0.240, 0.917), Pt at (0.249, 0.000, 0.245), Pt at (0.500, 0.000, 0.506), Pt at (0.500, 0.000, 0.990) and Pt at (0.500, 0.243, 0.668).

As for the uncorrected energy: -6.600 eV per atom. As for the formation energy: -0.11 eV per atom.

8.
Entry from the Alexandria database: crystalline Fe2Pt at its relaxed geometry (PBE-GGA).

It has space group P6_3/mmc (No. 194), with a = 4.7951 Å, b = 4.7951 Å, c = 7.8355 Å, α = 90.00°, β = 90.00° and γ = 120.00°. Symmetry generates all atoms from Fe at (0.0000, 0.0000, 0.0000), Fe at (0.1692, 0.3383, 0.2500) and Pt at (0.3333, 0.6667, 0.5626).

As for the uncorrected energy: -7.746 eV per atom. As for the formation energy: -0.09 eV per atom.

Repeat the first record exactly.
Entry from the Alexandria database: crystalline PrZr2Fe at its relaxed geometry (PBE-GGA).

It has space group P4/mmm (No. 123), with a = 3.284 Å, b = 3.284 Å, c = 8.320 Å, α = 90.00°, β = 90.00° and γ = 90.00°. Symmetry generates all atoms from Pr at (0.000, 0.000, 0.000), Zr at (0.500, 0.500, 0.320) and Fe at (0.000, 0.000, 0.500).

For the polymorph energy (0 for the lowest one), the calculation gives 0.0 kJ per mole of atoms. As for the uncorrected energy: -7.525 eV per atom. As for the formation energy: 0.06 eV per atom.